Record 1
Sc4AgHg | SCAN | PBEsol geometry

Lattice parameters (Å, degrees): 5.6413 5.6413 5.6413 60.00 60.00 60.00
Atoms (fractional coordinates):
Sc 0.8760 0.3747 0.3747
Sc 0.3747 0.8760 0.3747
Sc 0.3747 0.3747 0.3747
Sc 0.3747 0.3747 0.8760
Ag 0.7500 0.7500 0.7500
Hg 0.0000 0.0000 0.0000

Its formation energy is 1.5 eV/f.u.

---

Record 2
CaSi2Sb | SCAN | PBEsol geometry

Lattice parameters (Å, degrees): 3.6646 4.7886 5.9329 113.80 107.99 90.00
Atoms (fractional coordinates):
Sb 0.2290 0.7290 0.4580
Si 0.0732 0.0732 0.1465
Si 0.7296 0.2296 0.4592
Ca 0.4681 0.4681 0.9363

As for the total energy: -16.82 eV per atom.

---

Record 3
BaZrBi3 | SCAN | PBEsol geometry

Lattice parameters (Å, degrees): 5.6600 5.6600 5.6600 90.00 90.00 90.00
Atoms (fractional coordinates):
Bi 0.0000 0.0000 0.5000
Bi 0.0000 0.5000 0.0000
Bi 0.5000 0.0000 0.0000
Zr 0.0000 0.0000 0.0000
Ba 0.5000 0.5000 0.5000

Its formation energy is -2.2 eV/f.u.

---

Repeat the second record exactly.
CaSi2Sb | SCAN | PBEsol geometry

Lattice parameters (Å, degrees): 3.6646 4.7886 5.9329 113.80 107.99 90.00
Atoms (fractional coordinates):
Sb 0.2290 0.7290 0.4580
Si 0.0732 0.0732 0.1465
Si 0.7296 0.2296 0.4592
Ca 0.4681 0.4681 0.9363

As for the total energy: -16.82 eV per atom.